Material: Sm7TlSi5
Method: DFT, PBE-GGA
State: relaxed

```
13
Lattice="6.0844 0.0000 0.0000 3.0422 7.4312 -0.3390 3.0422 -0.3630 7.4300" Properties=species:S:1:pos:R:3 pbc="T T T"
Sm 6.0844 0.6352 5.8035
Sm 6.0844 2.4776 2.4857
Sm 6.0844 5.1254 5.1420
Sm 9.1266 2.2761 5.1105
Sm 9.1266 5.1031 2.2925
Sm 6.0844 5.8014 0.6539
Sm 3.0422 1.4974 1.5022
Si 4.2658 3.6238 -0.1037
Si 1.8186 3.6238 -0.1037
Si 9.1266 5.1596 5.1763
Si 1.8186 -0.1154 3.6235
Si 4.2658 -0.1154 3.6235
Tl 6.0844 0.2484 0.2492
```

Output
formation energy without anion corrections: -404 meV/atom
energy: -5.2127 eV/atom
spin magnetization: 0.000 μB/cell